(1)
Computed, not measured: crystalline BaTa2Tl at its relaxed geometry at the PBE level of DFT.

Unit cell a=3.0899 b=3.0899 c=10.4000 alpha=90.00 beta=90.00 gamma=90.00
Closest atoms and distances in Å follow each position.
Space group P4mm (No. 99)
Asymmetric unit:
Ba  0.0000  0.0000  0.0000 [1 per cell]  4 Ba 3.09
Ta  0.0000  0.0000  0.4919 [1 per cell]  8 Ta 2.97-3.09, 4 Tl 3.18
Ta  0.5000  0.5000  0.2987 [1 per cell]  8 Ta 2.97-3.09
Tl  0.5000  0.5000  0.7145 [1 per cell]  4 Tl 3.09, 4 Ta 3.18

Output
E_form: 617.5 meV per atom
Calculated density: 11.77 Mg/m³
Size of the total moment: 0.0 Bohr magnetons per cell
ΔE to the lowest computed polymorph: 0.184 eV per atom

(2)
Computed, not measured: crystalline BaTaTlZn2 at its relaxed geometry at the PBE level of DFT.

Unit cell a=5.1914 b=5.1914 c=5.4720 alpha=90.00 beta=90.00 gamma=90.00
Closest atoms and distances in Å follow each position.
Space group P4/mmm (No. 123)
Asymmetric unit:
Ba  0.0000  0.0000  0.0000 [1 per cell]  4 Tl 3.67, 8 Zn 3.77
Ta  0.5000  0.5000  0.5000 [1 per cell]  4 Zn 2.60, 2 Tl 2.74
Tl  0.5000  0.5000  0.0000 [1 per cell]  2 Ta 2.74
Zn  0.0000  0.5000  0.5000 [2 per cell]  2 Ta 2.60

Output
E_form: 333.4 meV per atom
Calculated density: 7.36 Mg/m³
Size of the total moment: 0.0 Bohr magnetons per cell

(3)
Computed, not measured: crystalline BaTa2V at its relaxed geometry at the PBE level of DFT.

Unit cell a=6.8892 b=6.8892 c=6.8892 alpha=90.00 beta=90.00 gamma=90.00
Closest atoms and distances in Å follow each position.
Space group Fm-3m (No. 225)
Asymmetric unit:
Ba  0.0000  0.0000  0.0000 [4 per cell]  8 Ta 2.98
Ta  0.2500  0.2500  0.2500 [8 per cell]  4 Ba 2.98, 4 V 2.98
V  0.0000  0.0000  0.5000 [4 per cell]  8 Ta 2.98

Output
E_form: 1302.7 meV per atom
Calculated density: 11.18 Mg/m³
Size of the total moment: 0.0 Bohr magnetons per cell
ΔE to the lowest computed polymorph: 0.000 eV per atom

(4)
Computed, not measured: crystalline BaTa2V at its relaxed geometry at the PBE level of DFT.

Unit cell a=5.3018 b=5.3018 c=17.3302 alpha=90.00 beta=90.00 gamma=90.00
Closest atoms and distances in Å follow each position.
Space group I-42d (No. 122)
Asymmetric unit:
Ba  0.0000  0.0000  0.0000 [4 per cell]  8 Ta 3.67-3.68, 4 V 3.75
Ta  0.0011  0.2500  0.6250 [8 per cell]  2 V 2.54, 2 Ta 2.65
V  0.0000  0.0000  0.5000 [4 per cell]  4 Ta 2.54

Output
E_form: 1513.3 meV per atom
Calculated density: 7.50 Mg/m³
Size of the total moment: 0.0 Bohr magnetons per cell
ΔE to the lowest computed polymorph: 0.211 eV per atom

(5)
Computed, not measured: crystalline Ba3TaV at its relaxed geometry at the PBE level of DFT.

Unit cell a=6.0002 b=6.0002 c=6.0002 alpha=90.00 beta=90.00 gamma=90.00
Closest atoms and distances in Å follow each position.
Space group Pm-3m (No. 221)
Asymmetric unit:
Ba  0.0000  0.0000  0.5000 [3 per cell]  2 V 3.00
Ta  0.5000  0.5000  0.5000 [1 per cell]  12 Ba 4.24
V  0.0000  0.0000  0.0000 [1 per cell]  6 Ba 3.00

Output
E_form: 1611.9 meV per atom
Calculated density: 4.95 Mg/m³
Size of the total moment: 7.7 Bohr magnetons per cell

(6)
Computed, not measured: crystalline BaTa3V at its relaxed geometry at the PBE level of DFT.

Unit cell a=4.9083 b=4.9083 c=4.9083 alpha=90.00 beta=90.00 gamma=90.00
Closest atoms and distances in Å follow each position.
Space group Pm-3m (No. 221)
Asymmetric unit:
Ba  0.0000  0.0000  0.0000 [1 per cell]  12 Ta 3.47
Ta  0.0000  0.5000  0.5000 [3 per cell]  2 V 2.45
V  0.5000  0.5000  0.5000 [1 per cell]  6 Ta 2.45

Output
E_form: 1220.5 meV per atom
Calculated density: 10.27 Mg/m³
Size of the total moment: 0.0 Bohr magnetons per cell
ΔE to the lowest computed polymorph: 0.000 eV per atom

(7)
Computed, not measured: crystalline Ba2TaV at its relaxed geometry at the PBE level of DFT.

Unit cell a=9.0736 b=9.0736 c=6.3475 alpha=90.00 beta=90.00 gamma=90.00
Closest atoms and distances in Å follow each position.
Space group I-42d (No. 122)
Asymmetric unit:
Ba  0.2289  0.2500  0.1250 [8 per cell]  2 V 3.18, 2 Ba 3.20, 2 Ta 3.44
Ta  0.0000  0.0000  0.5000 [4 per cell]  2 V 3.17, 4 Ba 3.44
V  0.0000  0.0000  0.0000 [4 per cell]  2 Ta 3.17, 4 Ba 3.18

Output
E_form: 1569.3 meV per atom
Calculated density: 6.44 Mg/m³
Size of the total moment: 2.8 Bohr magnetons per cell
ΔE to the lowest computed polymorph: 0.222 eV per atom

(8)
Computed, not measured: crystalline Ba2TaV at its relaxed geometry at the PBE level of DFT.

Unit cell a=7.9961 b=7.9961 c=7.9961 alpha=90.00 beta=90.00 gamma=90.00
Closest atoms and distances in Å follow each position.
Space group Fm-3m (No. 225)
Asymmetric unit:
Ba  0.2500  0.2500  0.2500 [8 per cell]  4 Ta 3.46, 4 V 3.46
Ta  0.0000  0.0000  0.0000 [4 per cell]  8 Ba 3.46
V  0.0000  0.0000  0.5000 [4 per cell]  8 Ba 3.46

Output
E_form: 1347.4 meV per atom
Calculated density: 6.58 Mg/m³
Size of the total moment: 3.4 Bohr magnetons per cell
ΔE to the lowest computed polymorph: 0.000 eV per atom

(9)
Computed, not measured: crystalline BaTaV2 at its relaxed geometry at the PBE level of DFT.

Unit cell a=5.1507 b=5.1507 c=17.4508 alpha=90.00 beta=90.00 gamma=90.00
Closest atoms and distances in Å follow each position.
Space group I4_1/amd (No. 141, origin choice 2)
Asymmetric unit:
Ba  0.0000  0.2500  0.3750 [4 per cell]  8 V 3.61, 4 Ta 3.64
Ta  0.0000  0.2500  0.8750 [4 per cell]  4 V 2.53
V  0.0000  0.0000  0.0000 [8 per cell]  2 Ta 2.53, 2 V 2.58

Output
E_form: 1396.4 meV per atom
Calculated density: 6.03 Mg/m³
Size of the total moment: 13.5 Bohr magnetons per cell
ΔE to the lowest computed polymorph: 0.254 eV per atom

(10)
Computed, not measured: crystalline BaTaV2 at its relaxed geometry at the PBE level of DFT.

Unit cell a=6.9064 b=6.9064 c=6.9064 alpha=90.00 beta=90.00 gamma=90.00
Closest atoms and distances in Å follow each position.
Space group Fm-3m (No. 225)
Asymmetric unit:
Ba  0.0000  0.0000  0.0000 [4 per cell]  8 V 2.99
Ta  0.0000  0.0000  0.5000 [4 per cell]  8 V 2.99
V  0.2500  0.2500  0.2500 [8 per cell]  4 Ba 2.99, 4 Ta 2.99

Output
E_form: 1142.6 meV per atom
Calculated density: 8.47 Mg/m³
Size of the total moment: 13.4 Bohr magnetons per cell
ΔE to the lowest computed polymorph: 0.000 eV per atom

(11)
Computed, not measured: crystalline BaTa3V at its relaxed geometry at the PBE level of DFT.

Unit cell a=5.0442 b=5.0442 c=5.0442 alpha=90.00 beta=90.00 gamma=90.00
Closest atoms and distances in Å follow each position.
Space group Pm-3m (No. 221)
Asymmetric unit:
Ba  0.0000  0.0000  0.0000 [1 per cell]  6 Ta 2.52
Ta  0.0000  0.0000  0.5000 [3 per cell]  2 Ba 2.52
V  0.5000  0.5000  0.5000 [1 per cell]  12 Ta 3.57

Output
E_form: 3087.8 meV per atom
Calculated density: 9.46 Mg/m³
Size of the total moment: 3.1 Bohr magnetons per cell
ΔE to the lowest computed polymorph: 1.867 eV per atom

(12)
Computed, not measured: crystalline BaTa2VW at its relaxed geometry at the PBE level of DFT.

Unit cell a=5.0041 b=5.0041 c=4.9359 alpha=90.00 beta=90.00 gamma=90.00
Closest atoms and distances in Å follow each position.
Space group P4/mmm (No. 123)
Asymmetric unit:
Ba  0.0000  0.0000  0.0000 [1 per cell]  2 W 2.47, 4 Ta 2.50
Ta  0.0000  0.5000  0.0000 [2 per cell]  2 Ba 2.50
V  0.5000  0.5000  0.5000 [1 per cell]  8 Ta 3.51, 4 W 3.54
W  0.0000  0.0000  0.5000 [1 per cell]  2 Ba 2.47

Output
E_form: 3470.6 meV per atom
Calculated density: 9.86 Mg/m³
Size of the total moment: 0.1 Bohr magnetons per cell

(13)
Computed, not measured: crystalline BaYTaV2 at its relaxed geometry at the PBE level of DFT.

Unit cell a=4.8641 b=4.8641 c=5.2061 alpha=90.00 beta=90.00 gamma=90.00
Closest atoms and distances in Å follow each position.
Space group P4/mmm (No. 123)
Asymmetric unit:
Ba  0.0000  0.0000  0.0000 [1 per cell]  4 V 2.43, 2 Ta 2.60
Y  0.5000  0.5000  0.5000 [1 per cell]  4 Ta 3.44, 8 V 3.56
Ta  0.0000  0.0000  0.5000 [1 per cell]  2 Ba 2.60
V  0.0000  0.5000  0.0000 [2 per cell]  2 Ba 2.43

Output
E_form: 2084.7 meV per atom
Calculated density: 6.86 Mg/m³
Size of the total moment: 0.0 Bohr magnetons per cell

(14)
Computed, not measured: crystalline BaTaV2Zn at its relaxed geometry at the PBE level of DFT.

Unit cell a=4.6631 b=4.6631 c=5.4459 alpha=90.00 beta=90.00 gamma=90.00
Closest atoms and distances in Å follow each position.
Space group P4/mmm (No. 123)
Asymmetric unit:
Ba  0.0000  0.0000  0.0000 [1 per cell]  2 Zn 2.72
Ta  0.5000  0.5000  0.0000 [1 per cell]  4 Ba 3.30, 8 V 3.58
V  0.0000  0.5000  0.5000 [2 per cell]  2 Zn 2.33
Zn  0.0000  0.0000  0.5000 [1 per cell]  4 V 2.33

Output
E_form: 1880.0 meV per atom
Calculated density: 6.81 Mg/m³
Size of the total moment: 0.0 Bohr magnetons per cell

(15)
Computed, not measured: crystalline Ba2TaW at its relaxed geometry at the PBE level of DFT.

Unit cell a=3.1406 b=3.1406 c=37.0867 alpha=90.00 beta=90.00 gamma=120.00
Closest atoms and distances in Å follow each position.
Space group R-3m (No. 166, hexagonal axes)
Asymmetric unit:
Ba  0.0000  0.0000  0.2467 [6 per cell]  6 Ba 3.14, 3 W 3.48
Ta  0.0000  0.0000  0.0000 [3 per cell]  6 Ta 3.14
W  0.0000  0.0000  0.5000 [3 per cell]  6 W 3.14, 6 Ba 3.48

Output
E_form: 1638.9 meV per atom
Calculated density: 10.06 Mg/m³
Size of the total moment: 0.0 Bohr magnetons per cell
ΔE to the lowest computed polymorph: 0.956 eV per atom